[1]
! Na2GeSe GGA-PBE relaxed; values from VASP
! Energy relative to the lowest polymorph listed for this composition, meV/atom: 13
! Space group: No. 225
! E_form (uncorrected), eV/atom: -0.1943
&SYSTEM
  ibrav = 0, nat = 4, ntyp = 3
/
ATOMIC_SPECIES
Na 22.99 Na.upf
Ge 72.64 Ge.upf
Se 78.96 Se.upf
ATOMIC_POSITIONS angstrom
Na 1.781 1.781 1.781
Na 5.344 5.344 5.344
Ge 0.000 0.000 0.000
Se 3.563 3.563 3.563
CELL_PARAMETERS angstrom
0.000 3.563 3.563
3.563 0.000 3.563
3.563 3.563 0.000



[2]
! KLaCuO3 GGA-PBE relaxed; values from VASP
! Space group: No. 11
! E_form (uncorrected), eV/atom: -1.9528
&SYSTEM
  ibrav = 0, nat = 12, ntyp = 4
/
ATOMIC_SPECIES
K 39.10 K.upf
La 138.91 La.upf
Cu 63.55 Cu.upf
O 16.00 O.upf
ATOMIC_POSITIONS angstrom
K -0.961 -0.281 1.676
K -3.199 -0.330 8.080
La 0.745 -2.580 4.090
La -4.905 1.970 5.666
Cu -3.332 3.032 3.102
Cu -0.828 -3.642 6.654
O -0.139 -4.629 5.154
O -4.020 4.019 4.602
O 0.630 -2.361 6.670
O -4.790 1.750 3.086
O -1.401 -2.939 2.891
O -2.759 2.329 6.865
CELL_PARAMETERS angstrom
-3.130 -2.265 0.054
3.271 -4.400 5.071
-4.300 6.055 4.631



[3]
! KPRu2 GGA-PBE relaxed; values from VASP
! E, eV for the cell shown: -23.2
! Space group: No. 71
&SYSTEM
  ibrav = 0, nat = 4, ntyp = 3
/
ATOMIC_SPECIES
K 39.10 K.upf
P 30.97 P.upf
Ru 101.07 Ru.upf
ATOMIC_POSITIONS angstrom
K 1.590 1.843 1.264
P 3.249 -0.701 1.261
Ru 7.369 4.804 0.000
Ru 4.385 2.859 0.000
CELL_PARAMETERS angstrom
5.576 0.010 -0.003
2.259 5.098 0.003
-2.997 -3.967 2.525



[4]
! NaFe2I GGA-PBE relaxed; values from VASP
! Energy relative to the lowest polymorph listed for this composition, meV/atom: 0
! Space group: No. 122
! E_form (uncorrected), eV/atom: 0.9587
&SYSTEM
  ibrav = 0, nat = 8, ntyp = 3
/
ATOMIC_SPECIES
I 126.90 I.upf
Na 22.99 Na.upf
Fe 55.84 Fe.upf
ATOMIC_POSITIONS angstrom
I 0.000 0.000 0.000
I 7.994 3.997 1.381
Na 3.997 3.997 0.000
Na 3.997 7.994 1.381
Fe 6.323 1.999 0.690
Fe 1.671 5.996 0.690
Fe 5.996 5.668 2.071
Fe 9.993 10.320 2.071
CELL_PARAMETERS angstrom
7.994 0.000 0.000
0.000 7.994 0.000
3.997 3.997 2.761



[5]
! Y5Tl2Rh2 GGA-PBE relaxed; values from VASP
! E, eV for the cell shown: -113.5
! Space group: No. 64
&SYSTEM
  ibrav = 0, nat = 18, ntyp = 3
/
ATOMIC_SPECIES
Y 88.91 Y.upf
Tl 204.38 Tl.upf
Rh 102.91 Rh.upf
ATOMIC_POSITIONS angstrom
Y 0.000 0.000 0.000
Y -3.580 -1.772 3.611
Y -4.642 -1.276 6.844
Y -0.237 -1.065 3.231
Y -1.857 -3.845 5.699
Y -3.022 1.504 4.376
Y 2.938 3.592 4.567
Y -1.467 3.380 8.180
Y 0.153 6.161 5.712
Y 1.318 0.811 7.035
Tl 2.135 1.125 2.668
Tl -1.446 -0.647 6.280
Tl 2.112 -1.871 5.272
Tl -0.258 2.962 5.131
Rh -4.825 -3.784 5.455
Rh -2.336 0.240 1.767
Rh -1.566 -3.769 2.842
Rh -5.595 0.226 4.380
CELL_PARAMETERS angstrom
-5.951 3.061 3.470
-1.210 -6.605 3.752
5.457 5.859 4.188



[6]
! BeAs2Ru GGA-PBE relaxed; values from VASP
! E, eV for the cell shown: -21.3
! Space group: No. 65
&SYSTEM
  ibrav = 0, nat = 4, ntyp = 3
/
ATOMIC_SPECIES
Ru 101.07 Ru.upf
As 74.92 As.upf
Be 9.01 Be.upf
ATOMIC_POSITIONS angstrom
Ru 1.935 1.873 0.014
As 0.000 0.000 0.000
As 3.870 0.499 1.287
Be -0.329 2.357 1.264
CELL_PARAMETERS angstrom
6.135 0.014 0.037
-2.265 3.731 -0.009
1.606 0.984 2.537



[7]
! PrZnHg2 GGA-PBE relaxed; values from VASP
! Energy relative to the lowest polymorph listed for this composition, meV/atom: 113
! Space group: No. 63
&SYSTEM
  ibrav = 0, nat = 8, ntyp = 3
/
ATOMIC_SPECIES
Pr 140.91 Pr.upf
Zn 65.41 Zn.upf
Hg 200.59 Hg.upf
ATOMIC_POSITIONS angstrom
Pr 0.179 1.500 4.655
Pr -1.952 4.726 3.204
Zn -2.351 0.630 0.557
Zn 0.000 0.000 0.000
Hg 1.010 4.744 4.494
Hg -2.783 1.483 3.365
Hg -0.289 2.541 1.503
Hg -1.484 3.686 6.356
CELL_PARAMETERS angstrom
-4.702 1.259 1.114
1.147 -1.266 6.272
1.782 6.234 0.473



[8]
! LaCoIr2 GGA-PBE relaxed; values from VASP
! E, eV for the cell shown: -29.3
! Space group: No. 139
&SYSTEM
  ibrav = 0, nat = 4, ntyp = 3
/
ATOMIC_SPECIES
Co 58.93 Co.upf
Ir 192.22 Ir.upf
La 138.91 La.upf
ATOMIC_POSITIONS angstrom
Co -2.272 1.661 0.707
Ir 0.000 0.000 0.000
Ir -2.441 2.486 -2.070
La -2.503 -0.343 -1.428
CELL_PARAMETERS angstrom
-2.210 4.490 0.065
-2.672 0.482 -4.205
0.107 -3.654 3.419



Number 1: D(E_F) 2.6 states/eV/f.u.. Number 2: D(E_F) 1.0 states/eV/f.u.. Number 3: D(E_F) 3.8 states/eV/f.u.. Number 4: D(E_F) 5.1 states/eV/f.u.. Number 5: D(E_F) 7.9 states/eV/f.u.. Number 6: D(E_F) 1.8 states/eV/f.u.. Number 7: D(E_F) 2.5 states/eV/f.u.. Number 8: D(E_F) 5.5 states/eV/f.u..